A) First-principles (SCAN) data for La2TaIr at its PBEsol-relaxed geometry, as listed in Alexandria.

Cell lengths 3.4797, 5.2042, 10.8361 Å; angles 90.00, 90.00, 90.00 degrees
Space group Imm2 (No. 44)
Symmetry-distinct sites (fractional):
La 0.0000 0.0000 0.0000
La 0.0000 0.5000 0.2078
Ta 0.0000 0.5000 0.7925
Ir 0.0000 0.0000 0.4568

Computed properties:
Total magnetic moment = 0.0 Bohr magnetons per cell
Theoretical density = 11.02 g/cm³

B) First-principles (SCAN) data for La2TaIr at its PBEsol-relaxed geometry, as listed in Alexandria.

Cell lengths 3.2520, 3.2520, 9.1392 Å; angles 90.00, 90.00, 90.00 degrees
Space group P4mm (No. 99)
Symmetry-distinct sites (fractional):
La 0.0000 0.0000 0.0000
La 0.5000 0.5000 0.3647
Ta 0.0000 0.0000 0.6189
Ir 0.5000 0.5000 0.7605

Computed properties:
Total magnetic moment = 0.0 Bohr magnetons per cell
Theoretical density = 11.18 g/cm³

Referenced to the most stable arrangement, the calculated values in kJ/mol of atoms are A) 4.3; B) 0.0.

A) First-principles (SCAN) data for LaTcIr at its PBEsol-relaxed geometry, as listed in Alexandria.

Cell lengths 6.3015, 6.3015, 6.3015 Å; angles 90.00, 90.00, 90.00 degrees
Space group F-43m (No. 216)
Symmetry-distinct sites (fractional):
La 0.0000 0.0000 0.0000
Tc 0.2500 0.2500 0.7500
Ir 0.2500 0.2500 0.2500

Computed properties:
Total magnetic moment = 8.3 Bohr magnetons per cell
Theoretical density = 11.39 g/cm³

B) First-principles (SCAN) data for LaTcIr at its PBEsol-relaxed geometry, as listed in Alexandria.

Cell lengths 2.9229, 2.9229, 12.9676 Å; angles 90.00, 90.00, 90.00 degrees
Space group I4mm (No. 107)
Symmetry-distinct sites (fractional):
La 0.0000 0.0000 0.0000
Tc 0.0000 0.0000 0.6919
Ir 0.0000 0.0000 0.3105

Computed properties:
Total magnetic moment = 0.0 Bohr magnetons per cell
Theoretical density = 12.86 g/cm³

Referenced to the most stable arrangement, the calculated values in kJ/mol of atoms are A) 101.3; B) 0.0.

A) First-principles (SCAN) data for La2TcIr at its PBEsol-relaxed geometry, as listed in Alexandria.

Cell lengths 3.6301, 4.8791, 4.9048 Å; angles 90.00, 90.00, 90.00 degrees
Space group Pmmm (No. 47)
Symmetry-distinct sites (fractional):
La 0.0000 0.0000 0.0000
La 0.0000 0.5000 0.5000
Tc 0.5000 0.0000 0.5000
Ir 0.5000 0.5000 0.0000

Computed properties:
Total magnetic moment = 0.0 Bohr magnetons per cell
Theoretical density = 10.86 g/cm³

B) First-principles (SCAN) data for La2TcIr at its PBEsol-relaxed geometry, as listed in Alexandria.

Cell lengths 3.3808, 3.3808, 8.4501 Å; angles 90.00, 90.00, 90.00 degrees
Space group P4mm (No. 99)
Symmetry-distinct sites (fractional):
La 0.0000 0.0000 0.0000
La 0.5000 0.5000 0.3978
Tc 0.0000 0.0000 0.6512
Ir 0.5000 0.5000 0.7631

Computed properties:
Total magnetic moment = 0.0 Bohr magnetons per cell
Theoretical density = 9.77 g/cm³

Referenced to the most stable arrangement, the calculated values in kJ/mol of atoms are A) 0.0; B) 12.5.

A) First-principles (SCAN) data for LaTcIr2 at its PBEsol-relaxed geometry, as listed in Alexandria.

Cell lengths 4.1204, 4.1472, 8.0017 Å; angles 90.00, 90.00, 90.00 degrees
Space group Immm (No. 71)
Symmetry-distinct sites (fractional):
La 0.0000 0.0000 0.0000
Tc 0.0000 0.0000 0.5000
Ir 0.0000 0.5000 0.2495

Computed properties:
Total magnetic moment = 2.0 Bohr magnetons per cell
Theoretical density = 15.09 g/cm³

B) First-principles (SCAN) data for LaTcIr2 at its PBEsol-relaxed geometry, as listed in Alexandria.

Cell lengths 2.8244, 3.5859, 7.0433 Å; angles 90.00, 90.00, 90.00 degrees
Space group Pmmm (No. 47)
Symmetry-distinct sites (fractional):
La 0.0000 0.0000 0.0000
Tc 0.0000 0.0000 0.5000
Ir 0.5000 0.5000 0.3099

Computed properties:
Total magnetic moment = 0.0 Bohr magnetons per cell
Theoretical density = 14.46 g/cm³

Referenced to the most stable arrangement, the calculated values in kJ/mol of atoms are A) 32.8; B) 0.0.

A) First-principles (SCAN) data for La3TlIr at its PBEsol-relaxed geometry, as listed in Alexandria.

Cell lengths 5.5181, 5.5181, 5.5181 Å; angles 90.00, 90.00, 90.00 degrees
Space group Pm-3m (No. 221)
Symmetry-distinct sites (fractional):
La 0.0000 0.0000 0.5000
Tl 0.5000 0.5000 0.5000
Ir 0.0000 0.0000 0.0000

Computed properties:
Total magnetic moment = 0.0 Bohr magnetons per cell
Theoretical density = 8.04 g/cm³

B) First-principles (SCAN) data for La3TlIr at its PBEsol-relaxed geometry, as listed in Alexandria.

Cell lengths 7.5251, 8.9948, 8.6830 Å; angles 90.00, 90.00, 90.00 degrees
Space group Cmmm (No. 65)
Symmetry-distinct sites (fractional):
La 0.0000 0.2127 0.0000
La 0.2356 0.5000 0.3130
Tl 0.0000 0.2392 0.5000
Ir 0.1916 0.5000 0.0000

Computed properties:
Total magnetic moment = 0.0 Bohr magnetons per cell
Theoretical density = 9.19 g/cm³

Referenced to the most stable arrangement, the calculated values in kJ/mol of atoms are A) 10.4; B) 0.0.

A) First-principles (SCAN) data for LaIr2W at its PBEsol-relaxed geometry, as listed in Alexandria.

Cell lengths 4.2749, 4.2749, 7.7464 Å; angles 90.00, 90.00, 90.00 degrees
Space group I4/mmm (No. 139)
Symmetry-distinct sites (fractional):
La 0.0000 0.0000 0.0000
Ir 0.0000 0.5000 0.2500
W 0.0000 0.0000 0.5000

Computed properties:
Total magnetic moment = 2.3 Bohr magnetons per cell
Theoretical density = 16.59 g/cm³

B) First-principles (SCAN) data for LaIr2W at its PBEsol-relaxed geometry, as listed in Alexandria.

Cell lengths 4.9575, 4.9575, 2.8929 Å; angles 90.00, 90.00, 90.00 degrees
Space group P4/mmm (No. 123)
Symmetry-distinct sites (fractional):
La 0.0000 0.0000 0.0000
Ir 0.0000 0.5000 0.5000
W 0.5000 0.5000 0.0000

Computed properties:
Total magnetic moment = 0.0 Bohr magnetons per cell
Theoretical density = 16.52 g/cm³

Referenced to the most stable arrangement, the calculated values in kJ/mol of atoms are A) 23.7; B) 0.0.

A) First-principles (SCAN) data for La2ZrIr at its PBEsol-relaxed geometry, as listed in Alexandria.

Cell lengths 7.0885, 7.0885, 7.0885 Å; angles 90.00, 90.00, 90.00 degrees
Space group F-43m (No. 216)
Symmetry-distinct sites (fractional):
La 0.0000 0.0000 0.0000
La 0.2500 0.2500 0.2500
Zr 0.0000 0.0000 0.5000
Ir 0.2500 0.2500 0.7500

Computed properties:
Total magnetic moment = 0.0 Bohr magnetons per cell
Theoretical density = 10.47 g/cm³

B) First-principles (SCAN) data for La2ZrIr at its PBEsol-relaxed geometry, as listed in Alexandria.

Cell lengths 11.8947, 3.5798, 5.3585 Å; angles 90.00, 116.29, 90.00 degrees
Space group Cm (No. 8)
Symmetry-distinct sites (fractional):
La 0.0000 0.0000 0.0000
La 0.2078 0.0000 0.7106
Zr 0.3012 0.5000 0.3037
Ir 0.4788 0.0000 0.4719

Computed properties:
Total magnetic moment = 0.0 Bohr magnetons per cell
Theoretical density = 9.11 g/cm³

Referenced to the most stable arrangement, the calculated values in kJ/mol of atoms are A) 27.8; B) 0.0.

A) First-principles (SCAN) data for La3ZrIr at its PBEsol-relaxed geometry, as listed in Alexandria.

Cell lengths 5.3199, 5.3199, 5.3199 Å; angles 90.00, 90.00, 90.00 degrees
Space group Pm-3m (No. 221)
Symmetry-distinct sites (fractional):
La 0.0000 0.0000 0.5000
Zr 0.0000 0.0000 0.0000
Ir 0.5000 0.5000 0.5000

Computed properties:
Total magnetic moment = 0.0 Bohr magnetons per cell
Theoretical density = 7.72 g/cm³

B) First-principles (SCAN) data for La3ZrIr at its PBEsol-relaxed geometry, as listed in Alexandria.

Cell lengths 5.5250, 5.5250, 5.5250 Å; angles 90.00, 90.00, 90.00 degrees
Space group Pm-3m (No. 221)
Symmetry-distinct sites (fractional):
La 0.0000 0.0000 0.5000
Zr 0.5000 0.5000 0.5000
Ir 0.0000 0.0000 0.0000

Computed properties:
Total magnetic moment = 3.0 Bohr magnetons per cell
Theoretical density = 6.89 g/cm³

Referenced to the most stable arrangement, the calculated values in kJ/mol of atoms are A) 100.3; B) 0.0.

A) First-principles (SCAN) data for LiMgIr at its PBEsol-relaxed geometry, as listed in Alexandria.

Cell lengths 4.3253, 4.3253, 2.6534 Å; angles 90.00, 90.00, 120.00 degrees
Space group P3m1 (No. 156)
Symmetry-distinct sites (fractional):
Li 0.0000 0.0000 0.0000
Mg 0.3333 0.6667 0.7134
Ir 0.6667 0.3333 0.2830

Computed properties:
Total magnetic moment = 0.3 Bohr magnetons per cell
Theoretical density = 8.63 g/cm³

B) First-principles (SCAN) data for LiMgIr at its PBEsol-relaxed geometry, as listed in Alexandria.

Cell lengths 2.9207, 4.6423, 13.6302 Å; angles 90.00, 90.00, 90.00 degrees
Space group Fmm2 (No. 42)
Symmetry-distinct sites (fractional):
Li 0.0000 0.0000 0.0000
Mg 0.0000 0.0000 0.3089
Ir 0.0000 0.0000 0.6505

Computed properties:
Total magnetic moment = 0.0 Bohr magnetons per cell
Theoretical density = 8.03 g/cm³

Referenced to the most stable arrangement, the calculated values in kJ/mol of atoms are A) 0.0; B) 19.3.

A) First-principles (SCAN) data for Li2MoIr at its PBEsol-relaxed geometry, as listed in Alexandria.

Cell lengths 3.5465, 3.5465, 19.2222 Å; angles 90.00, 90.00, 90.00 degrees
Space group I-42d (No. 122)
Symmetry-distinct sites (fractional):
Li 0.2368 0.2500 0.1250
Mo 0.0000 0.0000 0.5000
Ir 0.0000 0.0000 0.0000

Computed properties:
Total magnetic moment = 0.0 Bohr magnetons per cell
Theoretical density = 8.30 g/cm³

B) First-principles (SCAN) data for Li2MoIr at its PBEsol-relaxed geometry, as listed in Alexandria.

Cell lengths 5.1718, 9.4895, 2.7017 Å; angles 90.00, 120.19, 90.00 degrees
Space group C2/m (No. 12)
Symmetry-distinct sites (fractional):
Li 0.2500 0.2500 0.0000
Mo 0.0000 0.0000 0.5000
Ir 0.0000 0.5000 0.5000

Computed properties:
Total magnetic moment = 0.5 Bohr magnetons per cell
Theoretical density = 8.75 g/cm³

Referenced to the most stable arrangement, the calculated values in kJ/mol of atoms are A) 14.4; B) 0.0.

A) First-principles (SCAN) data for LiNbIr2 at its PBEsol-relaxed geometry, as listed in Alexandria.

Cell lengths 6.1077, 6.1077, 6.1077 Å; angles 90.00, 90.00, 90.00 degrees
Space group Fm-3m (No. 225)
Symmetry-distinct sites (fractional):
Li 0.0000 0.0000 0.0000
Nb 0.0000 0.0000 0.5000
Ir 0.2500 0.2500 0.2500

Computed properties:
Total magnetic moment = 0.0 Bohr magnetons per cell
Theoretical density = 14.12 g/cm³

B) First-principles (SCAN) data for LiNbIr2 at its PBEsol-relaxed geometry, as listed in Alexandria.

Cell lengths 6.8323, 6.8323, 5.4822 Å; angles 90.00, 90.00, 90.00 degrees
Space group I-42d (No. 122)
Symmetry-distinct sites (fractional):
Li 0.0000 0.0000 0.0000
Nb 0.0000 0.0000 0.5000
Ir 0.2396 0.7500 0.6250

Computed properties:
Total magnetic moment = 0.0 Bohr magnetons per cell
Theoretical density = 12.57 g/cm³

Referenced to the most stable arrangement, the calculated values in kJ/mol of atoms are A) 0.0; B) 69.8.

A) First-principles (SCAN) data for LiIrOs2 at its PBEsol-relaxed geometry, as listed in Alexandria.

Cell lengths 2.7269, 4.5392, 9.0936 Å; angles 90.00, 90.00, 90.00 degrees
Space group Cmm2 (No. 35)
Symmetry-distinct sites (fractional):
Li 0.0000 0.0000 0.0000
Ir 0.0000 0.5000 0.2416
Os 0.0000 0.0000 0.4979
Os 0.0000 0.5000 0.7452

Computed properties:
Total magnetic moment = 2.5 Bohr magnetons per cell
Theoretical density = 17.10 g/cm³

B) First-principles (SCAN) data for LiIrOs2 at its PBEsol-relaxed geometry, as listed in Alexandria.

Cell lengths 2.8262, 4.3588, 8.3499 Å; angles 90.00, 90.00, 90.00 degrees
Space group Imm2 (No. 44)
Symmetry-distinct sites (fractional):
Li 0.0000 0.0000 0.0000
Ir 0.0000 0.5000 0.7282
Os 0.0000 0.0000 0.5012
Os 0.0000 0.5000 0.2654

Computed properties:
Total magnetic moment = 0.0 Bohr magnetons per cell
Theoretical density = 18.71 g/cm³

C) First-principles (SCAN) data for LiIrOs2 at its PBEsol-relaxed geometry, as listed in Alexandria.

Cell lengths 4.4795, 4.4795, 2.7072 Å; angles 90.00, 90.00, 90.00 degrees
Space group P4/mmm (No. 123)
Symmetry-distinct sites (fractional):
Li 0.0000 0.0000 0.0000
Ir 0.5000 0.5000 0.0000
Os 0.0000 0.5000 0.5000

Computed properties:
Total magnetic moment = 0.0 Bohr magnetons per cell
Theoretical density = 17.72 g/cm³

Referenced to the most stable arrangement, the calculated values in kJ/mol of atoms are A) 12.9; B) 0.0; C) 20.6.

A) First-principles (SCAN) data for LiPIr3 at its PBEsol-relaxed geometry, as listed in Alexandria.

Cell lengths 4.3483, 4.3483, 4.3483 Å; angles 90.00, 90.00, 90.00 degrees
Space group Pm-3m (No. 221)
Symmetry-distinct sites (fractional):
Li 0.0000 0.0000 0.0000
P 0.5000 0.5000 0.5000
Ir 0.0000 0.5000 0.5000

Computed properties:
Total magnetic moment = 0.0 Bohr magnetons per cell
Theoretical density = 12.41 g/cm³

B) First-principles (SCAN) data for LiPIr3 at its PBEsol-relaxed geometry, as listed in Alexandria.

Cell lengths 4.0724, 4.0724, 4.0724 Å; angles 90.00, 90.00, 90.00 degrees
Space group Pm-3m (No. 221)
Symmetry-distinct sites (fractional):
Li 0.0000 0.0000 0.0000
P 0.5000 0.5000 0.5000
Ir 0.0000 0.0000 0.5000

Computed properties:
Total magnetic moment = 0.0 Bohr magnetons per cell
Theoretical density = 15.11 g/cm³

Referenced to the most stable arrangement, the calculated values in kJ/mol of atoms are A) 0.0; B) 80.1.

A) First-principles (SCAN) data for LiIrPb2 at its PBEsol-relaxed geometry, as listed in Alexandria.

Cell lengths 3.4022, 3.4022, 25.8776 Å; angles 90.00, 90.00, 120.00 degrees
Space group R-3m (No. 166, hexagonal axes)
Symmetry-distinct sites (fractional):
Li 0.0000 0.0000 0.0000
Ir 0.0000 0.0000 0.5000
Pb 0.0000 0.0000 0.2429

Computed properties:
Total magnetic moment = 2.1 Bohr magnetons per cell
Theoretical density = 11.78 g/cm³

B) First-principles (SCAN) data for LiIrPb2 at its PBEsol-relaxed geometry, as listed in Alexandria.

Cell lengths 6.8958, 6.8958, 6.8958 Å; angles 90.00, 90.00, 90.00 degrees
Space group F-43m (No. 216)
Symmetry-distinct sites (fractional):
Li 0.0000 0.0000 0.0000
Ir 0.2500 0.2500 0.2500
Pb 0.0000 0.0000 0.5000
Pb 0.2500 0.2500 0.7500

Computed properties:
Total magnetic moment = 0.0 Bohr magnetons per cell
Theoretical density = 12.43 g/cm³

C) First-principles (SCAN) data for LiIrPb2 at its PBEsol-relaxed geometry, as listed in Alexandria.

Cell lengths 3.3755, 3.3755, 7.2759 Å; angles 90.00, 90.00, 90.00 degrees
Space group P4/mmm (No. 123)
Symmetry-distinct sites (fractional):
Li 0.0000 0.0000 0.0000
Ir 0.0000 0.0000 0.5000
Pb 0.5000 0.5000 0.2735

Computed properties:
Total magnetic moment = 0.7 Bohr magnetons per cell
Theoretical density = 12.29 g/cm³

Referenced to the most stable arrangement, the calculated values in kJ/mol of atoms are A) 7.3; B) 25.8; C) 0.0.